Computed, not measured: MgAg2Ir after structural relaxation at the PBE level of DFT.

Cell lengths 5.653, 7.779, 3.033 Å; angles 90.00, 90.00, 90.00 degrees
Element x y z (fractional)
Mg (0.000, 0.000, 0.000)
Mg (0.500, 0.500, 0.000)
Ag (0.250, 0.250, 0.500)
Ag (0.250, 0.750, 0.500)
Ag (0.750, 0.250, 0.500)
Ag (0.750, 0.750, 0.500)
Ir (0.000, 0.500, 0.000)
Ir (0.500, 0.000, 0.000)

- ΔE_f (meV/atom) = 87
- crystal system = orthorhombic

Computed, not measured: Ca3Zn6Ga5 after structural relaxation at the PBE level of DFT.

Cell lengths 4.370, 12.778, 9.580 Å; angles 90.00, 90.00, 90.00 degrees
Element x y z (fractional)
Ca (0.250, 0.052, 0.248)
Ca (0.250, 0.448, 0.248)
Ca (0.250, 0.750, 0.249)
Ca (0.750, 0.250, 0.751)
Ca (0.750, 0.552, 0.752)
Ca (0.750, 0.948, 0.752)
Zn (0.250, 0.089, 0.612)
Zn (0.250, 0.250, 0.050)
Zn (0.250, 0.250, 0.445)
Zn (0.250, 0.411, 0.612)
Zn (0.250, 0.607, 0.976)
Zn (0.250, 0.893, 0.976)
Zn (0.750, 0.107, 0.024)
Zn (0.750, 0.393, 0.024)
Zn (0.750, 0.589, 0.388)
Zn (0.750, 0.750, 0.555)
Zn (0.750, 0.750, 0.950)
Zn (0.750, 0.911, 0.388)
Ga (0.250, 0.090, 0.882)
Ga (0.250, 0.410, 0.882)
Ga (0.250, 0.612, 0.530)
Ga (0.250, 0.750, 0.758)
Ga (0.250, 0.888, 0.530)
Ga (0.750, 0.112, 0.470)
Ga (0.750, 0.250, 0.242)
Ga (0.750, 0.388, 0.470)
Ga (0.750, 0.590, 0.118)
Ga (0.750, 0.910, 0.118)

- ΔE_f (meV/atom) = -333
- crystal system = orthorhombic

Computed, not measured: LiLaTe2 after structural relaxation at the PBE level of DFT.

Cell lengths 4.335, 12.183, 4.754 Å; angles 90.00, 90.00, 90.00 degrees
Element x y z (fractional)
Li (0.000, 0.014, 0.000)
Li (0.500, 0.986, 0.500)
La (0.000, 0.670, 0.002)
La (0.500, 0.330, 0.502)
Te (0.000, 0.131, 0.500)
Te (0.000, 0.398, 0.002)
Te (0.500, 0.602, 0.502)
Te (0.500, 0.869, 0.000)

- DFT total energy (eV per atom) = -4.662
- crystal system = orthorhombic

Computed, not measured: TbAg2Pb2 after structural relaxation at the PBE level of DFT.

Cell lengths 11.891, 11.891, 4.563 Å; angles 90.00, 90.00, 157.82 degrees
Element x y z (fractional)
Tb (0.137, 0.863, 0.750)
Tb (0.863, 0.137, 0.250)
Ag (0.038, 0.962, 0.250)
Ag (0.462, 0.538, 0.250)
Ag (0.538, 0.462, 0.750)
Ag (0.962, 0.038, 0.750)
Pb (0.250, 0.750, 0.250)
Pb (0.378, 0.622, 0.750)
Pb (0.622, 0.378, 0.250)
Pb (0.750, 0.250, 0.750)

- ΔE_f (meV/atom) = -216
- crystal system = orthorhombic

For the records above, the corresponding spin magnetization values read 0.0000 0.0000 0.0000 0.0000 μB/atom.